## Mg2RuSe (PBE)

Data for a geometry-optimized Mg2RuSe structure.

crystal system	tetragonal
uncorrected formation energy	0.11	eV/atom

Cell: 7.298 7.298 5.563 Å, 90.00 90.00 90.00°
Space group I-42d (No. 122)
Asymmetric unit:
Mg: 0.241 0.250 0.125
Ru: 0.000 0.000 0.500
Se: 0.000 0.000 0.000